The following is a DFT calculation (GGA-PBE) of a relaxed structure of Na2AgWI.

a = 5.6629 Å, b = 5.3147 Å, c = 5.6629 Å
α = 90.00°, β = 90.00°, γ = 90.00°
Closest atoms and distances in Å follow each position.
Element x y z (fractional)
I 0.5000 0.5000 0.5000  8 Na 3.88, 4 W 4.00
Na 0.0000 0.0000 0.5000  2 Ag 2.83
Na 0.5000 0.0000 0.0000  2 Ag 2.83
Ag 0.0000 0.0000 0.0000  2 W 2.66, 4 Na 2.83
W 0.0000 0.5000 0.0000  2 Ag 2.66

Properties
ΔE_f (raw) (eV per atom): 0.9373
ρ (Mg/m³): 4.53